Entry 1:
# Mg2TeMo | Alexandria via LeMat-Bulk | PBE | relaxed
data_Mg2TeMo
_chemical_formula_sum 'Mg2 Te1 Mo1'
_symmetry_space_group_name_H-M 'P 1'
_symmetry_Int_Tables_number 1
_cell_length_a 3.203
_cell_length_b 4.684
_cell_length_c 5.756
_cell_angle_alpha 90.00
_cell_angle_beta 105.85
_cell_angle_gamma 90.00
loop_
_symmetry_equiv_pos_as_xyz
'x,y,z'
loop_
_atom_site_label
_atom_site_type_symbol
_atom_site_fract_x
_atom_site_fract_y
_atom_site_fract_z
Mg1 Mg 0.000 0.000 0.000
Mg2 Mg 0.346 0.500 0.702
Te1 Te 0.728 0.000 0.459
Mo1 Mo 0.608 0.500 0.219
# calculated total energy: -4.070 eV/atom



Entry 2:
# NiAsRh | Alexandria via LeMat-Bulk | PBE | relaxed
data_NiAsRh
_chemical_formula_sum 'Ni2 As2 Rh2'
_symmetry_space_group_name_H-M 'P 1'
_symmetry_Int_Tables_number 1
_cell_length_a 3.617
_cell_length_b 3.617
_cell_length_c 6.186
_cell_angle_alpha 90.00
_cell_angle_beta 90.00
_cell_angle_gamma 90.00
loop_
_symmetry_equiv_pos_as_xyz
'x,y,z'
loop_
_atom_site_label
_atom_site_type_symbol
_atom_site_fract_x
_atom_site_fract_y
_atom_site_fract_z
Ni1 Ni 0.250 0.750 0.000
Ni2 Ni 0.750 0.250 0.000
As1 As 0.250 0.250 0.251
As2 As 0.750 0.750 0.749
Rh1 Rh 0.250 0.250 0.638
Rh2 Rh 0.750 0.750 0.362
# calculated total energy: -6.335 eV/atom
# formation energy from the elements: -1.2 eV per formula unit



Entry 3:
# LaTlPb2 | Alexandria via LeMat-Bulk | PBE | relaxed
data_LaTlPb2
_chemical_formula_sum 'La1 Tl1 Pb2'
_symmetry_space_group_name_H-M 'P 1'
_symmetry_Int_Tables_number 1
_cell_length_a 3.547
_cell_length_b 3.547
_cell_length_c 10.174
_cell_angle_alpha 90.00
_cell_angle_beta 90.00
_cell_angle_gamma 90.00
loop_
_symmetry_equiv_pos_as_xyz
'x,y,z'
loop_
_atom_site_label
_atom_site_type_symbol
_atom_site_fract_x
_atom_site_fract_y
_atom_site_fract_z
La1 La 0.000 0.000 0.000
Tl1 Tl 0.000 0.000 0.500
Pb1 Pb 0.500 0.500 0.243
Pb2 Pb 0.500 0.500 0.757
# calculated total energy: -3.891 eV/atom
# formation energy from the elements: -0.9 eV per formula unit



Entry 4:
# ErSc5Bi4 | Alexandria via LeMat-Bulk | PBE | relaxed
data_ErSc5Bi4
_chemical_formula_sum 'Er2 Sc10 Bi8'
_symmetry_space_group_name_H-M 'P 1'
_symmetry_Int_Tables_number 1
_cell_length_a 9.980
_cell_length_b 10.125
_cell_length_c 5.739
_cell_angle_alpha 90.00
_cell_angle_beta 90.00
_cell_angle_gamma 90.00
loop_
_symmetry_equiv_pos_as_xyz
'x,y,z'
loop_
_atom_site_label
_atom_site_type_symbol
_atom_site_fract_x
_atom_site_fract_y
_atom_site_fract_z
Er1 Er 0.250 0.250 0.001
Er2 Er 0.750 0.750 0.999
Sc1 Sc 0.000 0.000 0.250
Sc2 Sc 0.000 0.000 0.750
Sc3 Sc 0.000 0.500 0.250
Sc4 Sc 0.000 0.500 0.750
Sc5 Sc 0.250 0.750 0.500
Sc6 Sc 0.500 0.000 0.250
Sc7 Sc 0.500 0.000 0.750
Sc8 Sc 0.500 0.500 0.250
Sc9 Sc 0.500 0.500 0.750
Sc10 Sc 0.750 0.250 0.500
Bi1 Bi 0.068 0.250 0.501
Bi2 Bi 0.250 0.577 0.001
Bi3 Bi 0.250 0.923 0.001
Bi4 Bi 0.432 0.250 0.501
Bi5 Bi 0.568 0.750 0.499
Bi6 Bi 0.750 0.077 0.999
Bi7 Bi 0.750 0.423 0.999
Bi8 Bi 0.932 0.750 0.499
# calculated total energy: -5.485 eV/atom
# formation energy from the elements: -3.1 eV per formula unit



Entry 5:
# BiBO2 | Alexandria via LeMat-Bulk | PBE | relaxed
data_BiBO2
_chemical_formula_sum 'Bi1 B1 O2'
_symmetry_space_group_name_H-M 'P 1'
_symmetry_Int_Tables_number 1
_cell_length_a 4.128
_cell_length_b 4.128
_cell_length_c 4.128
_cell_angle_alpha 60.00
_cell_angle_beta 60.00
_cell_angle_gamma 60.00
loop_
_symmetry_equiv_pos_as_xyz
'x,y,z'
loop_
_atom_site_label
_atom_site_type_symbol
_atom_site_fract_x
_atom_site_fract_y
_atom_site_fract_z
Bi1 Bi 0.000 0.000 0.000
B1 B 0.500 0.500 0.500
O1 O 0.250 0.250 0.250
O2 O 0.750 0.750 0.750
# calculated total energy: -4.727 eV/atom
# relative energy among the computed polymorphs: 1.661 eV per atom



Entry 6:
# BSCl | Alexandria via LeMat-Bulk | PBE | relaxed
data_BSCl
_chemical_formula_sum 'B2 S2 Cl2'
_symmetry_space_group_name_H-M 'P 1'
_symmetry_Int_Tables_number 1
_cell_length_a 5.122
_cell_length_b 6.706
_cell_length_c 7.604
_cell_angle_alpha 91.27
_cell_angle_beta 108.96
_cell_angle_gamma 110.52
loop_
_symmetry_equiv_pos_as_xyz
'x,y,z'
loop_
_atom_site_label
_atom_site_type_symbol
_atom_site_fract_x
_atom_site_fract_y
_atom_site_fract_z
B1 B 0.105 0.413 0.268
B2 B 0.895 0.587 0.732
S1 S 0.264 0.673 0.298
S2 S 0.736 0.327 0.702
Cl1 Cl 0.059 0.856 0.763
Cl2 Cl 0.941 0.144 0.237
# calculated total energy: -4.558 eV/atom
# relative energy among the computed polymorphs: 0.257 eV per atom



Entry 7:
# Lu2ReHg | Alexandria via LeMat-Bulk | PBE | relaxed
data_Lu2ReHg
_chemical_formula_sum 'Lu2 Re1 Hg1'
_symmetry_space_group_name_H-M 'P 1'
_symmetry_Int_Tables_number 1
_cell_length_a 3.431
_cell_length_b 3.431
_cell_length_c 7.414
_cell_angle_alpha 90.00
_cell_angle_beta 90.00
_cell_angle_gamma 90.00
loop_
_symmetry_equiv_pos_as_xyz
'x,y,z'
loop_
_atom_site_label
_atom_site_type_symbol
_atom_site_fract_x
_atom_site_fract_y
_atom_site_fract_z
Lu1 Lu 0.000 0.000 0.218
Lu2 Lu 0.000 0.000 0.782
Re1 Re 0.500 0.500 0.000
Hg1 Hg 0.500 0.500 0.500
# calculated total energy: -5.647 eV/atom
# formation energy from the elements: -0.8 eV per formula unit



Entry 8:
# Ag2RuI6 | Alexandria via LeMat-Bulk | PBE | relaxed
data_Ag2RuI6
_chemical_formula_sum 'Ag2 Ru1 I6'
_symmetry_space_group_name_H-M 'P 1'
_symmetry_Int_Tables_number 1
_cell_length_a 7.220
_cell_length_b 7.220
_cell_length_c 12.631
_cell_angle_alpha 115.20
_cell_angle_beta 115.20
_cell_angle_gamma 32.72
loop_
_symmetry_equiv_pos_as_xyz
'x,y,z'
loop_
_atom_site_label
_atom_site_type_symbol
_atom_site_fract_x
_atom_site_fract_y
_atom_site_fract_z
Ag1 Ag 0.185 0.185 0.346
Ag2 Ag 0.815 0.815 0.654
Ru1 Ru 0.500 0.500 0.000
I1 I 0.145 0.145 0.054
I2 I 0.152 0.152 0.575
I3 I 0.477 0.477 0.778
I4 I 0.523 0.523 0.222
I5 I 0.848 0.848 0.425
I6 I 0.855 0.855 0.946
# calculated total energy: -2.799 eV/atom



Question: What is the calculated total energy in the first record?
Answer: -4.070 eV/atom



Question: Which value of calculated total energy does entry 4 give?
Answer: -5.485 eV/atom